Entry 1:
DFT (PBE) results for an optimized crystal structure of ZrTcSb2F.

Cell: 5.047 5.047 4.100 Å, 90.00 90.00 90.00°
Atoms (fractional coordinates):
Zr  0.000  0.000  0.000
Tc  0.500  0.500  0.000
Sb  0.000  0.500  0.500
Sb  0.500  0.000  0.500
F  0.000  0.000  0.500

Properties
E_form (uncorrected) (eV per atom): 0.019

---

Entry 2:
DFT (PBE) results for an optimized crystal structure of SbTe2F.

Cell: 3.275 3.275 30.688 Å, 90.00 90.00 120.00°
Atoms (fractional coordinates):
Sb  0.000  0.000  0.000
Sb  0.333  0.667  0.667
Sb  0.667  0.333  0.333
Te  0.000  0.000  0.099
Te  0.000  0.000  0.901
Te  0.333  0.667  0.568
Te  0.333  0.667  0.765
Te  0.667  0.333  0.235
Te  0.667  0.333  0.432
F  0.000  0.000  0.500
F  0.333  0.667  0.167
F  0.667  0.333  0.833

Properties
E_form (uncorrected) (eV per atom): -0.290
Offset from the most stable computed form (meV per atom): 206

---

Entry 3:
DFT (PBE) results for an optimized crystal structure of Sb2TeF.

Cell: 5.006 5.006 17.718 Å, 90.00 90.00 90.00°
Atoms (fractional coordinates):
Sb  0.166  0.250  0.125
Sb  0.250  0.666  0.375
Sb  0.250  0.834  0.875
Sb  0.334  0.250  0.625
Sb  0.666  0.750  0.625
Sb  0.750  0.166  0.875
Sb  0.750  0.334  0.375
Sb  0.834  0.750  0.125
Te  0.000  0.000  0.500
Te  0.000  0.500  0.750
Te  0.500  0.000  0.250
Te  0.500  0.500  0.000
F  0.000  0.000  0.000
F  0.000  0.500  0.250
F  0.500  0.000  0.750
F  0.500  0.500  0.500

Properties
E_form (uncorrected) (eV per atom): -0.457
Offset from the most stable computed form (meV per atom): 0

---

Entry 4:
DFT (PBE) results for an optimized crystal structure of Sb2TeF.

Cell: 7.228 7.228 7.228 Å, 90.00 90.00 90.00°
Atoms (fractional coordinates):
Sb  0.250  0.250  0.250
Sb  0.250  0.250  0.750
Sb  0.250  0.750  0.250
Sb  0.250  0.750  0.750
Sb  0.750  0.250  0.250
Sb  0.750  0.250  0.750
Sb  0.750  0.750  0.250
Sb  0.750  0.750  0.750
Te  0.000  0.000  0.000
Te  0.000  0.500  0.500
Te  0.500  0.000  0.500
Te  0.500  0.500  0.000
F  0.000  0.000  0.500
F  0.000  0.500  0.000
F  0.500  0.000  0.000
F  0.500  0.500  0.500

Properties
E_form (uncorrected) (eV per atom): -0.292
Offset from the most stable computed form (meV per atom): 165

---

Entry 5:
DFT (PBE) results for an optimized crystal structure of Sb3TeF.

Cell: 5.029 5.029 5.029 Å, 90.00 90.00 90.00°
Atoms (fractional coordinates):
Sb  0.000  0.000  0.500
Sb  0.000  0.500  0.000
Sb  0.500  0.000  0.000
Te  0.500  0.500  0.500
F  0.000  0.000  0.000

Properties
E_form (uncorrected) (eV per atom): 0.026
Offset from the most stable computed form (meV per atom): 0

---

Entry 6:
DFT (PBE) results for an optimized crystal structure of SbTe2F.

Cell: 4.100 4.100 25.352 Å, 90.00 90.00 120.00°
Atoms (fractional coordinates):
Sb  0.000  0.000  0.000
Sb  0.333  0.667  0.667
Sb  0.667  0.333  0.333
Te  0.000  0.000  0.409
Te  0.000  0.000  0.591
Te  0.333  0.667  0.076
Te  0.333  0.667  0.257
Te  0.667  0.333  0.743
Te  0.667  0.333  0.924
F  0.000  0.000  0.500
F  0.333  0.667  0.167
F  0.667  0.333  0.833

Properties
E_form (uncorrected) (eV per atom): -0.431
Offset from the most stable computed form (meV per atom): 65